A relaxed SrPHS2 crystal, computed with PBEsol.

a b c (Å): 5.687 5.687 6.383
angles (deg): 90.00 90.00 90.00
Sites, in units of the cell vectors:
Sr 0.000 0.000 0.000
P 0.000 0.000 0.500
H 0.500 0.500 0.500
S 0.000 0.500 0.000
S 0.500 0.000 0.000

Space-group type ... P4/mmm (123)
E ... -0.102 Ha/atom